[1]
The following is a PBE calculation of an optimized crystal structure of YMg2SO, from the Alexandria database.

## Properties
Space-group type: P4/mmm
Calculated total energy: -3.946 eV per atom

Geometry as extended XYZ:
```
5
Lattice="-3.055 2.458 -2.445 -3.443 -0.310 3.990 1.714 3.903 1.782" Properties=species:S:1:pos:R:3 pbc="T T T"
Y -1.721 -0.155 1.995
S 0.000 0.000 0.000
Mg 0.857 1.952 0.891
Mg -1.527 1.229 -1.222
O -2.392 3.026 1.664
```

[2]
The following is a PBE calculation of an optimized crystal structure of Ni2PtRh, from the Alexandria database.

## Properties
Space-group type: Cmm2
Calculated total energy: -6.079 eV per atom
Energy relative to the elements: 15 kJ/mol of atoms

Geometry as extended XYZ:
```
4
Lattice="-1.773 1.077 -1.631 -0.835 -1.671 1.863 -1.044 6.765 5.601" Properties=species:S:1:pos:R:3 pbc="T T T"
Ni -0.010 0.062 0.051
Ni -1.550 1.298 1.437
Pt -0.510 3.307 2.738
Rh -2.104 4.886 4.408
```

The highest calculated total energy belongs to which entry?
YMg2SO

What did the second record say?
The following is a PBE calculation of an optimized crystal structure of Ni2PtRh, from the Alexandria database.

## Properties
Space-group type: Cmm2
Calculated total energy: -6.079 eV per atom
Energy relative to the elements: 15 kJ/mol of atoms

Geometry as extended XYZ:
```
4
Lattice="-1.773 1.077 -1.631 -0.835 -1.671 1.863 -1.044 6.765 5.601" Properties=species:S:1:pos:R:3 pbc="T T T"
Ni -0.010 0.062 0.051
Ni -1.550 1.298 1.437
Pt -0.510 3.307 2.738
Rh -2.104 4.886 4.408
```